Here is a relaxed structure of NaVPd2 from Alexandria via LeMat-Bulk. Energies are from GGA-PBE.

Properties
Mass density ... 6.54 g/cm3
Spin magnetization ... 3.7 Bohr magnetons per cell
DOS(E_F) ... 9.2 states/eV per cell
Space-group type ... I-42d
Excess energy over the best structure of this formula in the dataset ... 0.471 eV/atom
Crystal system ... tetragonal
Raw total energy ... -4.87 eV per atom

Structure (extended XYZ):
```
8
Lattice="-3.571 3.571 2.855 3.571 -3.571 2.855 3.571 3.571 -2.855" Properties=species:S:1:pos:R:3 pbc="T T T"
Na 0.000 0.000 0.000
Na 0.000 3.571 1.428
V 3.571 0.000 1.428
V 0.000 0.000 2.855
Pd 1.785 2.045 -0.714
Pd 5.096 1.785 0.714
Pd 1.785 1.525 2.142
Pd -1.525 1.785 3.569
```